Entry 1:
VASP calculation (PBE-GGA) on CuHgOs2 after structural relaxation.

abc: 5.131 5.131 5.131
angles: 136.92 136.92 62.55
Fractional coordinates of all 4 atoms:
Cu: 0.000 0.000 0.000
Hg: 0.500 0.500 0.000
Os: 0.250 0.750 0.500
Os: 0.750 0.250 0.500

- Final energy: -23.2 eV for the cell shown
- Space group: No. 139
- Calculated formation energy: 0.905 eV per atom

---

Entry 2:
VASP calculation (PBE-GGA) on Zr3HgC after structural relaxation.

abc: 6.261 6.261 9.275
angles: 90.00 90.00 148.35
Fractional coordinates of all 10 atoms:
Zr: 0.039 0.961 0.750
Zr: 0.377 0.623 0.543
Zr: 0.377 0.623 0.957
Zr: 0.623 0.377 0.043
Zr: 0.623 0.377 0.457
Zr: 0.961 0.039 0.250
Hg: 0.254 0.746 0.250
Hg: 0.746 0.254 0.750
C: 0.000 0.000 0.000
C: 0.000 0.000 0.500

- Final energy: -75.4 eV for the cell shown
- Energy above the lowest structure with this stoichiometry: 0 meV/atom
- Space group: No. 63
- Calculated formation energy: -0.504 eV per atom